Entry 1:
Material: NaHg2Pt2
Method: DFT, meta-GGA SCAN
State: PBEsol geometry

a = 7.9941 Å, b = 7.9941 Å, c = 2.9739 Å
α = 90.00°, β = 90.00°, γ = 90.00°
With the nearest neighbours (Å) after each atom.
Space group P4/mbm (No. 127)
One atom of each set of equivalent atoms:
Na 0.0000 0.0000 0.0000 (multiplicity 2)  2 Na 2.97, 4 Pt 3.17, 8 Hg 3.31
Hg 0.1747 0.3253 0.5000 (multiplicity 4)  6 Pt 2.73-2.84, 2 Hg 2.97
Pt 0.1227 0.6227 0.0000 (multiplicity 4)  6 Hg 2.73-2.84, 3 Pt 2.78-2.97

Computed properties:
**DFT formation energy**: -0.156 eV/atom
**Energy**: -563.43 eV/cell

Entry 2:
Material: Rb2SbAuS4
Method: DFT, meta-GGA SCAN
State: PBEsol geometry

a = 6.7463 Å, b = 20.0958 Å, c = 7.1296 Å
α = 90.00°, β = 90.00°, γ = 90.00°
With the nearest neighbours (Å) after each atom.
Space group Pbcm (No. 57)
One atom of each set of equivalent atoms:
Rb 0.0893 0.1712 0.2500 (multiplicity 4)  6 S 3.36-3.69
Rb 0.2968 0.0118 0.7500 (multiplicity 4)  7 S 3.28-3.62
Sb 0.2063 0.6103 0.7500 (multiplicity 4)  4 S 2.32-2.39
Au 0.3934 0.7500 0.0000 (multiplicity 4)  2 S 2.27
S 0.1015 0.1614 0.7500 (multiplicity 4)  1 Sb 2.32
S 0.2020 0.0056 0.2500 (multiplicity 4)  1 Sb 2.33
S 0.3929 0.6372 0.0255 (multiplicity 8)  1 Au 2.27, 1 Sb 2.39

Computed properties:
**Energy**: -770.15 eV/cell
**Formation energy (no corrections)**: -0.7661 eV/atom

Entry 3:
Material: SrLiCd3
Method: DFT, meta-GGA SCAN
State: PBEsol geometry

a = 4.9680 Å, b = 4.9680 Å, c = 4.9680 Å
α = 90.00°, β = 90.00°, γ = 90.00°
With the nearest neighbours (Å) after each atom.
Space group Pm-3m (No. 221)
One atom of each set of equivalent atoms:
Sr 0.0000 0.0000 0.0000 (multiplicity 1)  12 Cd 3.51
Li 0.5000 0.5000 0.5000 (multiplicity 1)  6 Cd 2.48
Cd 0.0000 0.5000 0.5000 (multiplicity 3)  2 Li 2.48

Computed properties:
**DFT formation energy**: -0.181 eV/atom
**Energy**: -116.82 eV/cell

Entry 4:
Material: SrReHg4
Method: DFT, meta-GGA SCAN
State: PBEsol geometry

a = 8.1108 Å, b = 8.1108 Å, c = 8.1108 Å
α = 90.00°, β = 90.00°, γ = 90.00°
With the nearest neighbours (Å) after each atom.
Space group F-43m (No. 216)
One atom of each set of equivalent atoms:
Sr 0.0000 0.0000 0.0000 (multiplicity 4)  12 Hg 3.36, 4 Re 3.51
Re 0.2500 0.2500 0.7500 (multiplicity 4)  12 Hg 3.36, 4 Sr 3.51
Hg 0.1243 0.1243 0.3757 (multiplicity 16)  6 Hg 2.85-2.88

Computed properties:
**DFT formation energy**: 0.553 eV/atom
**Energy**: -1450.86 eV/cell

Entry 5:
Material: Na2SrAl4B4O14
Method: DFT, meta-GGA SCAN
State: PBEsol geometry

a = 4.9176 Å, b = 4.9176 Å, c = 15.6464 Å
α = 90.00°, β = 90.00°, γ = 120.00°
With the nearest neighbours (Å) after each atom.
Space group P3 (No. 143)
One atom of each set of equivalent atoms:
Na 0.0000 0.0000 0.0000 (multiplicity 1)  3 O 2.27
Na 0.0000 0.0000 0.2216 (multiplicity 1)  3 O 2.38
Sr 0.0000 0.0000 0.5277 (multiplicity 1)  6 O 2.48-2.60
Al 0.3333 0.6667 0.1530 (multiplicity 1)  4 O 1.75-1.76
Al 0.3333 0.6667 0.3739 (multiplicity 1)  4 O 1.70-1.78
Al 0.6667 0.3333 0.6704 (multiplicity 1)  4 O 1.65-1.79
Al 0.6667 0.3333 0.8861 (multiplicity 1)  4 O 1.72-1.76
B 0.3333 0.6667 0.6219 (multiplicity 1)  3 O 1.37
B 0.3333 0.6667 0.9265 (multiplicity 1)  3 O 1.37
B 0.6667 0.3333 0.1235 (multiplicity 1)  3 O 1.38
B 0.6667 0.3333 0.4153 (multiplicity 1)  3 O 1.38
O 0.0259 0.5967 0.6169 (multiplicity 3)  1 B 1.37
O 0.0314 0.6140 0.9292 (multiplicity 3)  1 B 1.37
O 0.3333 0.6667 0.2652 (multiplicity 1)  2 Al 1.70-1.75
O 0.3966 0.0423 0.1260 (multiplicity 3)  1 B 1.38
O 0.4106 0.0333 0.4173 (multiplicity 3)  1 B 1.38
O 0.6667 0.3333 0.7762 (multiplicity 1)  2 Al 1.65-1.72

Computed properties:
**Energy**: -251.84 eV/cell
**Formation energy (no corrections)**: -2.9269 eV/atom

Entry 6:
Material: Ba5As2S2O12
Method: DFT, meta-GGA SCAN
State: PBEsol geometry

a = 10.5082 Å, b = 7.7127 Å, c = 10.5405 Å
α = 90.00°, β = 119.78°, γ = 90.00°
With the nearest neighbours (Å) after each atom.
Space group Pm (No. 6)
One atom of each set of equivalent atoms:
Ba 0.0000 0.0000 0.0000 (multiplicity 1)  5 O 2.65-2.87
Ba 0.0014 0.5000 0.7692 (multiplicity 1)  5 O 2.65-2.93
Ba 0.2262 0.5000 0.2312 (multiplicity 1)  5 O 2.74-2.86
Ba 0.2458 0.0000 0.7722 (multiplicity 1)  6 O 2.66-2.96
Ba 0.4616 0.0000 0.2416 (multiplicity 1)  5 O 2.75-2.87
Ba 0.4802 0.5000 0.0206 (multiplicity 1)  3 O 2.66-2.73
Ba 0.5696 0.2482 0.6686 (multiplicity 2)  8 O 2.69-2.91
Ba 0.8995 0.2515 0.3276 (multiplicity 2)  8 O 2.68-2.89
As 0.1978 0.0000 0.3834 (multiplicity 1)  4 O 1.71-1.72
As 0.6112 0.5000 0.4174 (multiplicity 1)  4 O 1.71-1.72
As 0.6461 0.0000 0.0407 (multiplicity 1)  4 O 1.71-1.72
As 0.8153 0.5000 0.9615 (multiplicity 1)  4 O 1.71-1.72
S 0.2331 0.2500 0.9954 (multiplicity 2)  6 Ba 3.09-3.17
S 0.2690 0.5000 0.6240 (multiplicity 1)  4 O 1.49-1.50
S 0.8563 0.0000 0.5859 (multiplicity 1)  4 O 1.49-1.50
O 0.1061 0.0000 0.4811 (multiplicity 1)  1 As 1.72
O 0.1062 0.5000 0.5275 (multiplicity 1)  1 S 1.49
O 0.1392 0.1803 0.2741 (multiplicity 2)  1 As 1.71
O 0.3158 0.3423 0.7173 (multiplicity 2)  1 S 1.49
O 0.3433 0.5000 0.5341 (multiplicity 1)  1 S 1.50
O 0.3846 0.0000 0.4951 (multiplicity 1)  1 As 1.72
O 0.5005 0.3206 0.3705 (multiplicity 2)  1 As 1.71
O 0.5592 0.0000 0.8527 (multiplicity 1)  1 As 1.72
O 0.6030 0.1796 0.1074 (multiplicity 2)  1 As 1.71
O 0.6264 0.5000 0.8740 (multiplicity 1)  1 As 1.72
O 0.7113 0.5000 0.6052 (multiplicity 1)  1 As 1.72
O 0.7210 0.5000 0.3396 (multiplicity 1)  1 As 1.72
O 0.7583 0.0000 0.6508 (multiplicity 1)  1 S 1.49
O 0.7662 0.0000 0.4227 (multiplicity 1)  1 S 1.50
O 0.8343 0.0000 0.1242 (multiplicity 1)  1 As 1.72
O 0.8641 0.3192 0.9009 (multiplicity 2)  1 As 1.71
O 0.8954 0.5000 0.1485 (multiplicity 1)  1 As 1.72
O 0.9501 0.1577 0.6326 (multiplicity 2)  1 S 1.49

Computed properties:
**Energy**: -768.70 eV/cell
**Formation energy (no corrections)**: -2.4852 eV/atom